Entry 1:
# LiCe2Cl6 | Alexandria via LeMat-Bulk | PBE | relaxed
# Volume, Å³/f.u.: 222.1
# E_form (uncorrected), eV/atom: -2.037
# Magnetization, μB per formula unit: 3.00
# ρ, kg/m³: 3737
# DOS at the Fermi energy, states/eV per atom: 1.8848
data_LiCe2Cl6
_chemical_formula_sum 'Li2 Ce4 Cl12'
_symmetry_space_group_name_H-M 'P 1'
_symmetry_Int_Tables_number 1
_cell_length_a 6.377
_cell_length_b 7.489
_cell_length_c 9.305
_cell_angle_alpha 90.00
_cell_angle_beta 91.35
_cell_angle_gamma 90.00
loop_
_symmetry_equiv_pos_as_xyz
'x,y,z'
loop_
_atom_site_label
_atom_site_fract_x
_atom_site_fract_y
_atom_site_fract_z
_atom_site_occupancy
Li1 0.500 0.500 0.000 1
Li2 0.000 0.000 0.500 1
Ce1 0.950 0.382 0.747 1
Ce2 0.550 0.882 0.753 1
Ce3 0.450 0.118 0.247 1
Ce4 0.050 0.618 0.253 1
Cl1 0.868 0.965 0.250 1
Cl2 0.844 0.685 0.561 1
Cl3 0.830 0.665 0.942 1
Cl4 0.670 0.165 0.558 1
Cl5 0.656 0.185 0.939 1
Cl6 0.632 0.465 0.250 1
Cl7 0.132 0.035 0.750 1
Cl8 0.156 0.315 0.439 1
Cl9 0.170 0.335 0.058 1
Cl10 0.330 0.835 0.442 1
Cl11 0.344 0.815 0.061 1
Cl12 0.368 0.535 0.750 1



Entry 2:
# Li3CeCl8 | Alexandria via LeMat-Bulk | PBE | relaxed
# Volume, Å³/f.u.: 333.4
# E_form (uncorrected), eV/atom: -1.538
# Magnetization, μB per formula unit: 1.02
# ρ, kg/m³: 2214
# DOS at the Fermi energy, states/eV per atom: 0.9837
# Offset from the most stable computed form, meV/atom: 69.7
data_Li3CeCl8
_chemical_formula_sum 'Li3 Ce1 Cl8'
_symmetry_space_group_name_H-M 'P 1'
_symmetry_Int_Tables_number 1
_cell_length_a 7.525
_cell_length_b 7.525
_cell_length_c 6.798
_cell_angle_alpha 90.00
_cell_angle_beta 90.00
_cell_angle_gamma 120.00
loop_
_symmetry_equiv_pos_as_xyz
'x,y,z'
loop_
_atom_site_label
_atom_site_fract_x
_atom_site_fract_y
_atom_site_fract_z
_atom_site_occupancy
Li1 0.667 0.333 0.132 1
Li2 0.333 0.667 0.868 1
Li3 0.000 0.000 0.000 1
Ce1 0.000 0.000 0.500 1
Cl1 0.845 0.154 0.248 1
Cl2 0.309 0.155 0.248 1
Cl3 0.846 0.691 0.248 1
Cl4 0.155 0.846 0.752 1
Cl5 0.691 0.845 0.752 1
Cl6 0.154 0.309 0.752 1
Cl7 0.667 0.333 0.795 1
Cl8 0.333 0.667 0.205 1



Entry 3:
# Li2CeCl6 | Alexandria via LeMat-Bulk | PBE | relaxed
# Volume, Å³/f.u.: 226.2
# E_form (uncorrected), eV/atom: -1.871
# Magnetization, μB per formula unit: 0.00
# ρ, kg/m³: 2693
# Offset from the most stable computed form, meV/atom: 0.0
data_Li2CeCl6
_chemical_formula_sum 'Li4 Ce2 Cl12'
_symmetry_space_group_name_H-M 'P 1'
_symmetry_Int_Tables_number 1
_cell_length_a 6.243
_cell_length_b 6.243
_cell_length_c 11.605
_cell_angle_alpha 90.00
_cell_angle_beta 90.00
_cell_angle_gamma 90.00
loop_
_symmetry_equiv_pos_as_xyz
'x,y,z'
loop_
_atom_site_label
_atom_site_fract_x
_atom_site_fract_y
_atom_site_fract_z
_atom_site_occupancy
Li1 0.500 0.500 0.335 1
Li2 0.500 0.500 0.665 1
Li3 0.000 0.000 0.165 1
Li4 0.000 0.000 0.835 1
Ce1 0.500 0.500 0.000 1
Ce2 0.000 0.000 0.500 1
Cl1 0.699 0.699 0.169 1
Cl2 0.699 0.699 0.831 1
Cl3 0.698 0.698 0.500 1
Cl4 0.802 0.198 0.000 1
Cl5 0.801 0.199 0.331 1
Cl6 0.801 0.199 0.669 1
Cl7 0.199 0.801 0.331 1
Cl8 0.199 0.801 0.669 1
Cl9 0.198 0.802 0.000 1
Cl10 0.302 0.302 0.500 1
Cl11 0.301 0.301 0.169 1
Cl12 0.301 0.301 0.831 1



Entry 4:
# Li5Ce3Cl12 | Alexandria via LeMat-Bulk | PBE | relaxed
# Volume, Å³/f.u.: 469.9
# E_form (uncorrected), eV/atom: -1.928
# Magnetization, μB per formula unit: 5.02
# ρ, kg/m³: 3112
# DOS at the Fermi energy, states/eV per atom: 1.1442
data_Li5Ce3Cl12
_chemical_formula_sum 'Li20 Ce12 Cl48'
_symmetry_space_group_name_H-M 'P 1'
_symmetry_Int_Tables_number 1
_cell_length_a 13.466
_cell_length_b 13.466
_cell_length_c 13.466
_cell_angle_alpha 109.47
_cell_angle_beta 109.47
_cell_angle_gamma 109.47
loop_
_symmetry_equiv_pos_as_xyz
'x,y,z'
loop_
_atom_site_label
_atom_site_fract_x
_atom_site_fract_y
_atom_site_fract_z
_atom_site_occupancy
Ce1 0.750 0.375 0.125 1
Ce2 0.875 0.750 0.125 1
Ce3 0.375 0.750 0.625 1
Ce4 0.250 0.125 0.375 1
Ce5 0.875 0.125 0.250 1
Ce6 0.375 0.625 0.250 1
Ce7 0.625 0.375 0.750 1
Ce8 0.125 0.875 0.750 1
Ce9 0.750 0.875 0.625 1
Ce10 0.625 0.250 0.375 1
Ce11 0.125 0.250 0.875 1
Ce12 0.250 0.625 0.875 1
Li1 0.125 0.375 0.250 1
Li2 0.000 0.500 0.000 1
Li3 0.000 0.000 0.000 1
Li4 0.375 0.250 0.125 1
Li5 0.500 0.000 0.500 1
Li6 0.500 0.500 0.000 1
Li7 0.125 0.750 0.375 1
Li8 0.750 0.125 0.875 1
Li9 0.750 0.625 0.375 1
Li10 0.375 0.125 0.750 1
Li11 0.625 0.875 0.250 1
Li12 0.500 0.500 0.500 1
Li13 0.500 0.000 0.000 1
Li14 0.000 0.000 0.500 1
Li15 0.250 0.375 0.625 1
Li16 0.250 0.875 0.125 1
Li17 0.000 0.500 0.500 1
Li18 0.875 0.250 0.625 1
Li19 0.625 0.750 0.875 1
Li20 0.875 0.625 0.750 1
Cl1 0.712 0.122 0.030 1
Cl2 0.319 0.530 0.408 1
Cl3 0.970 0.378 0.288 1
Cl4 0.530 0.212 0.122 1
Cl5 0.590 0.712 0.681 1
Cl6 0.970 0.592 0.181 1
Cl7 0.319 0.788 0.410 1
Cl8 0.092 0.910 0.122 1
Cl9 0.592 0.970 0.681 1
Cl10 0.712 0.590 0.181 1
Cl11 0.788 0.470 0.378 1
Cl12 0.819 0.908 0.030 1
Cl13 0.122 0.712 0.530 1
Cl14 0.378 0.408 0.090 1
Cl15 0.090 0.908 0.378 1
Cl16 0.410 0.122 0.592 1
Cl17 0.090 0.181 0.212 1
Cl18 0.470 0.681 0.092 1
Cl19 0.819 0.910 0.288 1
Cl20 0.122 0.410 0.092 1
Cl21 0.378 0.970 0.788 1
Cl22 0.592 0.622 0.410 1
Cl23 0.908 0.819 0.530 1
Cl24 0.788 0.319 0.910 1
Cl25 0.408 0.378 0.590 1
Cl26 0.092 0.181 0.470 1
Cl27 0.212 0.681 0.090 1
Cl28 0.181 0.090 0.712 1
Cl29 0.622 0.030 0.212 1
Cl30 0.878 0.590 0.908 1
Cl31 0.530 0.319 0.908 1
Cl32 0.590 0.878 0.408 1
Cl33 0.910 0.819 0.788 1
Cl34 0.910 0.092 0.622 1
Cl35 0.878 0.288 0.470 1
Cl36 0.181 0.092 0.970 1
Cl37 0.622 0.592 0.910 1
Cl38 0.408 0.030 0.319 1
Cl39 0.288 0.410 0.819 1
Cl40 0.212 0.530 0.622 1
Cl41 0.908 0.090 0.878 1
Cl42 0.681 0.212 0.590 1
Cl43 0.470 0.788 0.878 1
Cl44 0.030 0.408 0.819 1
Cl45 0.410 0.288 0.319 1
Cl46 0.030 0.622 0.712 1
Cl47 0.681 0.470 0.592 1
Cl48 0.288 0.878 0.970 1



Entry 5:
# Li2CeCl6 | Alexandria via LeMat-Bulk | PBE | relaxed
# Volume, Å³/f.u.: 226.9
# E_form (uncorrected), eV/atom: -1.821
# Magnetization, μB per formula unit: 0.00
# ρ, kg/m³: 2684
# Offset from the most stable computed form, meV/atom: 50.6
data_Li2CeCl6
_chemical_formula_sum 'Li2 Ce1 Cl6'
_symmetry_space_group_name_H-M 'P 1'
_symmetry_Int_Tables_number 1
_cell_length_a 4.875
_cell_length_b 7.253
_cell_length_c 7.363
_cell_angle_alpha 73.38
_cell_angle_beta 70.67
_cell_angle_gamma 70.36
loop_
_symmetry_equiv_pos_as_xyz
'x,y,z'
loop_
_atom_site_label
_atom_site_fract_x
_atom_site_fract_y
_atom_site_fract_z
_atom_site_occupancy
Li1 0.196 0.689 0.919 1
Li2 0.804 0.311 0.081 1
Ce1 0.000 0.500 0.500 1
Cl1 0.746 0.651 0.857 1
Cl2 0.254 0.349 0.143 1
Cl3 0.979 0.823 0.220 1
Cl4 0.369 0.708 0.555 1
Cl5 0.021 0.177 0.780 1
Cl6 0.631 0.292 0.445 1



Entry 6:
# LiCeCl3 | Alexandria via LeMat-Bulk | PBE | relaxed
# Volume, Å³/f.u.: 124.1
# E_form (uncorrected), eV/atom: -1.791
# Magnetization, μB per formula unit: 2.00
# ρ, kg/m³: 3391
# DOS at the Fermi energy, states/eV per atom: 1.4302
data_LiCeCl3
_chemical_formula_sum 'Li4 Ce4 Cl12'
_symmetry_space_group_name_H-M 'P 1'
_symmetry_Int_Tables_number 1
_cell_length_a 7.113
_cell_length_b 6.904
_cell_length_c 10.277
_cell_angle_alpha 90.00
_cell_angle_beta 100.45
_cell_angle_gamma 90.00
loop_
_symmetry_equiv_pos_as_xyz
'x,y,z'
loop_
_atom_site_label
_atom_site_fract_x
_atom_site_fract_y
_atom_site_fract_z
_atom_site_occupancy
Li1 0.354 0.662 0.125 1
Li2 0.146 0.162 0.375 1
Li3 0.646 0.338 0.875 1
Li4 0.854 0.838 0.625 1
Ce1 0.916 0.637 0.276 1
Ce2 0.584 0.137 0.224 1
Ce3 0.084 0.363 0.724 1
Ce4 0.416 0.863 0.776 1
Cl1 0.134 0.703 0.558 1
Cl2 0.366 0.203 0.942 1
Cl3 0.866 0.297 0.442 1
Cl4 0.634 0.797 0.058 1
Cl5 0.798 0.073 0.780 1
Cl6 0.702 0.573 0.720 1
Cl7 0.202 0.927 0.220 1
Cl8 0.298 0.427 0.280 1
Cl9 0.651 0.825 0.414 1
Cl10 0.849 0.325 0.086 1
Cl11 0.349 0.175 0.586 1
Cl12 0.151 0.675 0.914 1